Li2ZnInH, relaxed, DFT PBE; polymorph energy (0 for the lowest one) = 0.000 eV/atom; M_tot = 0.000 μB per cell; final energy = -0.176 Ry/atom
1.0
4.244 0.000 0.000
0.000 4.244 0.000
0.000 0.000 3.883
Li Zn In H
2 1 1 1
direct
0.000 0.500 0.000
0.500 0.000 0.000
0.000 0.000 0.500
0.500 0.500 0.500
0.000 0.000 0.000